(1)
Below is crystalline NiBiS at its relaxed geometry, with properties calculated at the PBE level.

abc: 3.403 5.939 6.546
angles: 89.52 90.00 106.65
Sites, in units of the cell vectors:
Bi (0.336, 0.672, 0.178)
Ni (0.000, 0.000, 0.000)
S (0.931, 0.862, 0.691)
Ni (0.500, 0.000, 0.500)
Bi (0.664, 0.328, 0.822)
S (0.069, 0.138, 0.309)



(2)
Below is crystalline NiBi3S at its relaxed geometry, with properties calculated at the PBE level.

Output
Excess energy over the best structure of this formula in the dataset = 0 meV per atom

abc: 5.134 5.134 5.134
angles: 90.00 90.00 90.00
Sites, in units of the cell vectors:
Bi (0.000, 0.000, 0.500)
Ni (0.000, 0.000, 0.000)
Bi (0.500, 0.000, 0.000)
S (0.500, 0.500, 0.500)
Bi (0.000, 0.500, 0.000)



| no. | V (Å³ per cell) | uncorrected formation energy (eV/atom) | raw total energy (eV/cell) |
| --- | --- | --- | --- |
| 1 | 127 | -0.1746 | -28.6 |
| 2 | 135 | 0.4245 | -19.4 |